A crystal of InPW2 relaxed with PBEsol, computed with meta-GGA SCAN.

The structure in CIF format:
```
data_InPW2
_space_group_name_H-M_alt 'C 1 m 1'
_space_group_IT_number 8
_cell_length_a 9.1093
_cell_length_b 3.1359
_cell_length_c 4.7958
_cell_angle_alpha 90.00
_cell_angle_beta 107.94
_cell_angle_gamma 90.00
loop_
_space_group_symop_operation_xyz
'x,y,z'
'x,-y,z'
'x+1/2,y+1/2,z'
'x+1/2,-y+1/2,z'
loop_
_atom_site_label
_atom_site_type_symbol
_atom_site_fract_x
_atom_site_fract_y
_atom_site_fract_z
In1 In 0.0000 0.0000 0.0000
P1 P 0.2509 0.5000 0.3899
W1 W 0.2397 0.0000 0.7744
W2 W 0.4763 0.0000 0.4775
```

Values from the calculation:
N(E_F) in states/eV per atom: 0.50
Relative energy among the computed polymorphs in meV per atom: 153
Total magnetic moment in μB per cell: 0.00
E in Ry/atom: -3.3253
Energy of formation from the pure elements in eV per atom: 0.547